[1]
Crystalline GdTmAgSn at its relaxed geometry, computed with PBE.

ΔH_f (0 K) = -513 meV/atom

Cell: 7.383 7.383 7.383 Å, 90.00 90.00 90.00°
Space group F-43m (No. 216)
Inequivalent atoms, fractional coordinates:
Gd (0.000, 0.000, 0.000) (multiplicity 4)
Tm (0.000, 0.000, 0.500) (multiplicity 4)
Ag (0.250, 0.250, 0.250) (multiplicity 4)
Sn (0.250, 0.250, 0.750) (multiplicity 4)

---

[2]
Crystalline GdYAgSn at its relaxed geometry, computed with PBE.

ΔH_f (0 K) = -545 meV/atom

Cell: 7.437 7.437 7.437 Å, 90.00 90.00 90.00°
Space group F-43m (No. 216)
Inequivalent atoms, fractional coordinates:
Gd (0.000, 0.000, 0.000) (multiplicity 4)
Y (0.000, 0.000, 0.500) (multiplicity 4)
Ag (0.250, 0.250, 0.250) (multiplicity 4)
Sn (0.250, 0.250, 0.750) (multiplicity 4)

---

[3]
Crystalline SrGdAg4 at its relaxed geometry, computed with PBE.

ΔH_f (0 K) = -146 meV/atom

Cell: 8.260 8.260 8.260 Å, 90.00 90.00 90.00°
Space group F-43m (No. 216)
Inequivalent atoms, fractional coordinates:
Sr (0.000, 0.000, 0.000) (multiplicity 4)
Gd (0.250, 0.250, 0.250) (multiplicity 4)
Ag (0.125, 0.125, 0.625) (multiplicity 16)

---

[4]
Crystalline SrGdAg at its relaxed geometry, computed with PBE.

ΔH_f (0 K) = -111 meV/atom

Cell: 3.794 3.794 13.575 Å, 90.00 90.00 90.00°
Space group I4mm (No. 107)
Inequivalent atoms, fractional coordinates:
Sr (0.000, 0.000, 0.000) (multiplicity 2)
Gd (0.000, 0.000, 0.274) (multiplicity 2)
Ag (0.000, 0.000, 0.659) (multiplicity 2)

---

[5]
Crystalline SrGdTlAg at its relaxed geometry, computed with PBE.

ΔH_f (0 K) = -294 meV/atom

Cell: 7.743 7.743 7.743 Å, 90.00 90.00 90.00°
Space group F-43m (No. 216)
Inequivalent atoms, fractional coordinates:
Sr (0.000, 0.000, 0.000) (multiplicity 4)
Gd (0.000, 0.000, 0.500) (multiplicity 4)
Tl (0.250, 0.250, 0.750) (multiplicity 4)
Ag (0.250, 0.250, 0.250) (multiplicity 4)

---

[6]
Crystalline TbGd2Ag at its relaxed geometry, computed with PBE.

ΔH_f (0 K) = 248 meV/atom

Cell: 3.4396 3.4396 35.1259 Å, 90.00 90.00 120.00°
Space group R-3m (No. 166, hexagonal axes)
Inequivalent atoms, fractional coordinates:
Tb (0.0000, 0.0000, 0.0000) (multiplicity 3)
Gd (0.0000, 0.0000, 0.4146) (multiplicity 6)
Ag (0.0000, 0.0000, 0.5000) (multiplicity 3)

---

[7]
Crystalline TbGd2Ag at its relaxed geometry, computed with PBE.

ΔH_f (0 K) = -122 meV/atom

Cell: 3.628 3.628 8.737 Å, 90.00 90.00 90.00°
Space group P4/mmm (No. 123)
Inequivalent atoms, fractional coordinates:
Tb (0.000, 0.000, 0.000) (multiplicity 1)
Gd (0.500, 0.500, 0.285) (multiplicity 2)
Ag (0.000, 0.000, 0.500) (multiplicity 1)

---

[8]
Crystalline Tb2GdAg at its relaxed geometry, computed with PBE.

ΔH_f (0 K) = 0 meV/atom

Cell: 5.455 5.455 3.705 Å, 90.00 90.00 90.00°
Space group P4/mmm (No. 123)
Inequivalent atoms, fractional coordinates:
Tb (0.000, 0.500, 0.000) (multiplicity 2)
Gd (0.000, 0.000, 0.500) (multiplicity 1)
Ag (0.500, 0.500, 0.500) (multiplicity 1)

---

[9]
Crystalline Tb2GdAg at its relaxed geometry, computed with PBE.

ΔH_f (0 K) = -12 meV/atom

Cell: 3.5595 3.5595 31.6688 Å, 90.00 90.00 120.00°
Space group R-3m (No. 166, hexagonal axes)
Inequivalent atoms, fractional coordinates:
Tb (0.0000, 0.0000, 0.2412) (multiplicity 6)
Gd (0.0000, 0.0000, 0.0000) (multiplicity 3)
Ag (0.0000, 0.0000, 0.5000) (multiplicity 3)

---

[10]
Crystalline TbGd2Ag at its relaxed geometry, computed with PBE.

ΔH_f (0 K) = -12 meV/atom

Cell: 5.476 5.476 3.730 Å, 90.00 90.00 90.00°
Space group P4/mmm (No. 123)
Inequivalent atoms, fractional coordinates:
Tb (0.000, 0.000, 0.000) (multiplicity 1)
Gd (0.000, 0.500, 0.500) (multiplicity 2)
Ag (0.500, 0.500, 0.000) (multiplicity 1)

---

[11]
Crystalline Tb2GdAg at its relaxed geometry, computed with PBE.

ΔH_f (0 K) = 66 meV/atom

Cell: 7.611 7.611 7.611 Å, 90.00 90.00 90.00°
Space group Fm-3m (No. 225)
Inequivalent atoms, fractional coordinates:
Tb (0.250, 0.250, 0.250) (multiplicity 8)
Gd (0.000, 0.000, 0.000) (multiplicity 4)
Ag (0.000, 0.000, 0.500) (multiplicity 4)

---

[12]
Crystalline TbGd2Ag at its relaxed geometry, computed with PBE.

ΔH_f (0 K) = 58 meV/atom

Cell: 7.643 7.643 7.643 Å, 90.00 90.00 90.00°
Space group Fm-3m (No. 225)
Inequivalent atoms, fractional coordinates:
Tb (0.000, 0.000, 0.000) (multiplicity 4)
Gd (0.250, 0.250, 0.250) (multiplicity 8)
Ag (0.000, 0.000, 0.500) (multiplicity 4)

---

[13]
Crystalline TbGdTlAg at its relaxed geometry, computed with PBE.

ΔH_f (0 K) = -344 meV/atom

Cell: 7.489 7.489 7.489 Å, 90.00 90.00 90.00°
Space group F-43m (No. 216)
Inequivalent atoms, fractional coordinates:
Tb (0.000, 0.000, 0.000) (multiplicity 4)
Gd (0.000, 0.000, 0.500) (multiplicity 4)
Tl (0.250, 0.250, 0.750) (multiplicity 4)
Ag (0.250, 0.250, 0.250) (multiplicity 4)

---

[14]
Crystalline TbGdTmAg at its relaxed geometry, computed with PBE.

ΔH_f (0 K) = 44 meV/atom

Cell: 7.595 7.595 7.595 Å, 90.00 90.00 90.00°
Space group F-43m (No. 216)
Inequivalent atoms, fractional coordinates:
Tb (0.000, 0.000, 0.000) (multiplicity 4)
Gd (0.000, 0.000, 0.500) (multiplicity 4)
Tm (0.250, 0.250, 0.750) (multiplicity 4)
Ag (0.250, 0.250, 0.250) (multiplicity 4)

---

[15]
Crystalline TbGdYAg at its relaxed geometry, computed with PBE.

ΔH_f (0 K) = 67 meV/atom

Cell: 7.614 7.614 7.614 Å, 90.00 90.00 90.00°
Space group F-43m (No. 216)
Inequivalent atoms, fractional coordinates:
Tb (0.000, 0.000, 0.000) (multiplicity 4)
Gd (0.250, 0.250, 0.250) (multiplicity 4)
Y (0.000, 0.000, 0.500) (multiplicity 4)
Ag (0.250, 0.250, 0.750) (multiplicity 4)

---

[16]
Crystalline Gd2TcAg at its relaxed geometry, computed with PBE.

ΔH_f (0 K) = -165 meV/atom

Cell: 3.483 3.483 7.508 Å, 90.00 90.00 90.00°
Space group P4/mmm (No. 123)
Inequivalent atoms, fractional coordinates:
Gd (0.000, 0.000, 0.222) (multiplicity 2)
Tc (0.500, 0.500, 0.000) (multiplicity 1)
Ag (0.500, 0.500, 0.500) (multiplicity 1)

---

[17]
Crystalline GdThTcAg at its relaxed geometry, computed with PBE.

ΔH_f (0 K) = -83 meV/atom

Cell: 7.202 7.202 7.202 Å, 90.00 90.00 90.00°
Space group F-43m (No. 216)
Inequivalent atoms, fractional coordinates:
Gd (0.000, 0.000, 0.000) (multiplicity 4)
Th (0.000, 0.000, 0.500) (multiplicity 4)
Tc (0.250, 0.250, 0.250) (multiplicity 4)
Ag (0.250, 0.250, 0.750) (multiplicity 4)

---

[18]
Crystalline GdThAg at its relaxed geometry, computed with PBE.

ΔH_f (0 K) = -87 meV/atom

Cell: 3.625 3.625 12.836 Å, 90.00 90.00 90.00°
Space group I4mm (No. 107)
Inequivalent atoms, fractional coordinates:
Gd (0.000, 0.000, 0.000) (multiplicity 2)
Th (0.000, 0.000, 0.693) (multiplicity 2)
Ag (0.000, 0.000, 0.354) (multiplicity 2)

---

[19]
Crystalline GdTh2Ag at its relaxed geometry, computed with PBE.

ΔH_f (0 K) = 31 meV/atom

Cell: 3.574 3.574 9.233 Å, 90.00 90.00 90.00°
Space group P4/mmm (No. 123)
Inequivalent atoms, fractional coordinates:
Gd (0.000, 0.000, 0.000) (multiplicity 1)
Th (0.500, 0.500, 0.276) (multiplicity 2)
Ag (0.000, 0.000, 0.500) (multiplicity 1)

---

[20]
Crystalline GdTh2Ag at its relaxed geometry, computed with PBE.

ΔH_f (0 K) = 359 meV/atom

Cell: 3.4010 3.4010 36.6763 Å, 90.00 90.00 120.00°
Space group R-3m (No. 166, hexagonal axes)
Inequivalent atoms, fractional coordinates:
Gd (0.0000, 0.0000, 0.0000) (multiplicity 3)
Th (0.0000, 0.0000, 0.4150) (multiplicity 6)
Ag (0.0000, 0.0000, 0.5000) (multiplicity 3)